Entry 1:
Entry from OQMD: an optimized crystal structure of NbCuMoAs (GGA-PBE).

```
NbCuMoAs
1.0
0.000 3.140 3.140
3.140 0.000 3.140
3.140 3.140 0.000
Cu Mo Nb As
1 1 1 1
Cartesian
4.710 4.710 4.710 Cu
1.570 1.570 1.570 Mo
3.140 3.140 3.140 Nb
0.000 0.000 0.000 As
```

Properties
- E (eV/cell) = -28.256
- ΔE to the lowest computed polymorph (eV per formula unit) = 0.00
- total magnetization (μB/f.u.) = 0.1

***

Entry 2:
Entry from OQMD: an optimized crystal structure of Hf2ZrNi3As4Pd (GGA-PBE).

```
Hf2ZrNi3As4Pd
1.0
-0.247 -2.769 5.853
-1.351 -3.245 -1.592
6.884 -2.393 -0.963
As Hf Ni Zr Pd
4 2 3 1 1
Cartesian
5.299 -4.366 -0.274 As
0.468 -2.293 4.276 As
3.607 -5.304 3.073 As
2.521 -1.577 1.075 As
1.361 -3.858 2.031 Hf
0.540 -2.119 -0.815 Hf
5.706 -5.598 1.892 Ni
3.124 -3.361 -0.478 Ni
0.351 -1.164 2.074 Ni
4.668 -2.966 2.084 Zr
2.840 -3.420 4.560 Pd
```

Properties
- E (eV/cell) = -77.423
- ΔE to the lowest computed polymorph (eV per formula unit) = 0.06
- total magnetization (μB/f.u.) = 0.0

***

Entry 3:
Entry from OQMD: an optimized crystal structure of Co15Bi (GGA-PBE).

```
Co15Bi
1.0
3.507 0.000 0.000
0.000 3.508 0.000
0.000 0.000 41.320
Co Bi
30 2
Cartesian
0.877 0.000 4.335 Co
2.630 1.754 4.335 Co
0.877 1.754 12.918 Co
0.877 0.000 31.716 Co
2.630 1.754 7.822 Co
2.630 1.754 35.236 Co
2.630 1.754 28.402 Co
2.630 0.000 40.487 Co
2.630 1.754 31.780 Co
0.877 0.000 38.713 Co
0.877 0.000 7.821 Co
2.630 0.000 2.607 Co
2.630 1.754 38.716 Co
0.877 0.000 0.833 Co
2.630 0.000 36.985 Co
0.877 0.000 35.224 Co
0.877 0.000 11.301 Co
2.630 1.754 11.301 Co
2.630 0.000 9.604 Co
2.630 0.000 6.095 Co
0.877 1.754 9.539 Co
2.630 0.000 30.019 Co
0.877 1.754 2.604 Co
2.630 1.754 0.835 Co
0.877 1.754 6.083 Co
2.630 0.000 33.498 Co
0.877 1.754 30.019 Co
0.877 1.754 40.485 Co
0.877 1.754 33.498 Co
0.877 1.754 36.985 Co
0.877 0.000 27.353 Bi
2.630 0.000 13.967 Bi
```

Properties
- E (eV/cell) = -217.458
- ΔE to the lowest computed polymorph (eV per formula unit) = 0.00
- total magnetization (μB/f.u.) = 20.1

***

Entry 4:
Entry from OQMD: an optimized crystal structure of Nd3Si5 (GGA-PBE).

```
Nd3Si5
1.0
0.000 8.733 6.942
2.914 0.000 6.942
2.914 8.733 0.000
Nd Si
6 10
Cartesian
4.336 10.150 10.414 Nd
4.406 16.050 10.414 Nd
2.949 5.784 6.943 Nd
2.914 8.733 13.835 Nd
1.457 4.367 3.421 Nd
2.879 11.683 6.943 Nd
2.860 14.492 5.706 Si
1.511 10.125 9.177 Si
4.371 13.100 9.411 Si
2.807 2.866 8.092 Si
1.564 7.233 4.621 Si
4.317 7.342 9.177 Si
4.264 10.234 4.621 Si
2.968 2.975 5.706 Si
2.914 8.733 5.940 Si
3.022 14.600 8.092 Si
```

Properties
- E (eV/cell) = -93.654
- total magnetization (μB/f.u.) = 0.0

***

Entry 5:
Entry from OQMD: an optimized crystal structure of CdGeTe (GGA-PBE).

```
CdGeTe
1.0
0.000 3.517 3.517
3.517 0.000 3.517
3.517 3.517 0.000
Te Cd Ge
1 1 1
Cartesian
5.275 5.275 5.275 Te
1.758 1.758 1.758 Cd
0.000 0.000 0.000 Ge
```

Properties
- E (eV/cell) = -8.149
- ΔE to the lowest computed polymorph (eV per formula unit) = 0.00

***

Entry 6:
Entry from OQMD: an optimized crystal structure of TaCoCuSb (GGA-PBE).

```
TaCoCuSb
1.0
0.000 3.157 3.157
3.157 0.000 3.157
3.157 3.157 0.000
Sb Ta Cu Co
1 1 1 1
Cartesian
0.000 0.000 0.000 Sb
1.579 1.579 1.579 Ta
4.736 4.736 4.736 Cu
3.157 3.157 3.157 Co
```

Properties
- E (eV/cell) = -25.504
- ΔE to the lowest computed polymorph (eV per formula unit) = 0.41
- total magnetization (μB/f.u.) = 0.1